Here is a relaxed structure of CsZnGe from the Open Quantum Materials Database. Energies are from PBE-GGA.

Cell and atoms, written as POSCAR:
```
CsZnGe
1.0
0.0000 3.7537 3.7537
3.7537 0.0000 3.7537
3.7537 3.7537 0.0000
Cs Zn Ge
1 1 1
Cartesian
0.0000 0.0000 0.0000
3.7537 3.7537 3.7537
1.8769 1.8769 1.8769
```

V: 35.3 Å³/atom
Crystal system: cubic
Calculated total energy: -1.68 eV/atom
Energy relative to the lowest polymorph listed for this composition: 0.00 eV/f.u.

Here is a relaxed structure of Cs6ZnGe8 from the Open Quantum Materials Database. Energies are from PBE-GGA.

Cell and atoms, written as POSCAR:
```
Cs6ZnGe8
1.0
0.0000 11.8093 6.2965
11.1374 0.0000 6.2965
11.1374 11.8093 0.0000
Cs Zn Ge
18 3 24
Cartesian
11.1374 11.8093 12.5888
18.1197 11.8093 4.9347
11.1374 7.8196 3.9517
11.1374 4.3265 6.2965
14.3739 7.5351 7.1371
6.8875 4.0345 4.8304
11.1374 11.8093 4.1695
14.4149 11.8093 7.0241
11.1374 15.7990 3.9517
4.2500 7.7747 4.8304
7.9010 7.5351 7.1371
14.3739 16.0834 7.1371
4.1552 11.8093 4.9347
7.8600 11.8093 7.0241
11.1374 19.2921 6.2965
15.3874 15.8438 11.1269
7.9010 16.0834 7.1371
18.0249 19.5840 11.1269
14.8534 11.8093 2.5998
7.4215 11.8093 2.5998
11.1374 11.8093 8.8463
5.1168 2.1906 1.9413
14.6550 9.5948 4.0822
2.4908 2.2111 1.6220
8.6467 9.5982 1.6220
7.4119 7.5435 2.5611
3.7255 4.2658 2.5611
14.6550 14.0238 4.0822
6.0206 9.6187 1.9413
19.7841 14.0203 7.9185
7.6199 9.5948 4.0822
17.1581 13.9999 8.2378
11.1374 9.5963 7.3221
11.1374 7.5637 8.8806
18.5493 16.0751 8.8576
7.6199 14.0238 4.0822
12.4695 9.6161 9.6480
11.1374 14.0222 7.3221
9.8054 9.6161 9.6480
12.4695 14.0025 9.6480
16.2543 21.4280 8.2378
14.8630 19.3528 8.8576
11.1374 16.0549 8.8806
9.8054 14.0025 9.6480
13.6282 21.4075 7.9185
```

V: 36.8 Å³/atom
Crystal system: orthorhombic
Calculated total energy: -3.11 eV/atom

Here is a relaxed structure of CsZr3Ge5 from the Open Quantum Materials Database. Energies are from PBE-GGA.

Cell and atoms, written as POSCAR:
```
CsZr3Ge5
1.0
5.7853 0.0000 0.0000
-2.8927 5.0103 0.0000
0.0000 0.0000 7.0609
Cs Zr Ge
1 3 5
Cartesian
0.0000 0.0000 0.0000
-1.4463 2.5051 3.5304
2.8927 0.0000 3.5304
1.4463 2.5051 3.5304
0.0000 0.0000 3.5304
0.0000 3.3402 1.2535
0.0000 3.3402 5.8074
2.8927 1.6701 1.2535
2.8927 1.6701 5.8074
```

V: 22.7 Å³/atom
Crystal system: hexagonal
Size of the total moment: 0.01 μB per cell
Calculated total energy: -5.65 eV/atom

Here is a relaxed structure of Cs2LiHgH6 from the Open Quantum Materials Database. Energies are from PBE-GGA.

Cell and atoms, written as POSCAR:
```
Cs2LiHgH6
1.0
0.0000 4.2810 4.2810
4.2810 0.0000 4.2810
4.2810 4.2810 0.0000
Cs Li Hg H
2 1 1 6
Cartesian
2.1405 2.1405 2.1405
6.4215 6.4215 6.4215
0.0000 0.0000 0.0000
4.2810 4.2810 4.2810
4.2810 4.2810 2.2961
4.2810 2.2961 4.2810
6.2659 4.2810 4.2810
2.2961 4.2810 4.2810
4.2810 6.2659 4.2810
4.2810 4.2810 6.2659
```

V: 15.7 Å³/atom
Crystal system: cubic
Calculated total energy: -2.32 eV/atom

Here is a relaxed structure of CsH4Ir from the Open Quantum Materials Database. Energies are from PBE-GGA.

Cell and atoms, written as POSCAR:
```
CsH4Ir
1.0
6.5316 -3.1195 0.0000
6.5316 3.1195 0.0000
-1.6303 0.0000 4.4087
Cs H Ir
2 8 2
Cartesian
1.7485 0.0000 1.1904
9.6844 0.0000 3.2183
4.5742 1.0873 1.6020
6.5316 1.2525 0.0000
2.8125 0.0000 4.0997
6.8586 1.0873 2.8067
4.5742 -1.0873 1.6020
8.6204 0.0000 0.3090
6.5316 -1.2525 0.0000
6.8586 -1.0873 2.8067
5.5333 0.0000 0.8575
5.8996 0.0000 3.5512
```

V: 15.0 Å³/atom
Crystal system: monoclinic
Size of the total moment: 0.00 μB per cell
Calculated total energy: -4.04 eV/atom

Here is a relaxed structure of CsKH2Pd from the Open Quantum Materials Database. Energies are from PBE-GGA.

Cell and atoms, written as POSCAR:
```
CsKH2Pd
1.0
-2.1623 2.1623 6.4827
2.1623 -2.1623 6.4827
2.1623 2.1623 -6.4827
Cs K H Pd
1 1 2 1
Cartesian
0.0000 0.0000 0.0000
0.0000 0.0000 9.4418
0.0000 0.0000 2.9691
0.0000 0.0000 6.3882
0.0000 0.0000 4.6566
```

V: 24.2 Å³/atom
Crystal system: tetragonal
Calculated total energy: -3.00 eV/atom

Here is a relaxed structure of CsKH4Pd from the Open Quantum Materials Database. Energies are from PBE-GGA.

Cell and atoms, written as POSCAR:
```
CsKH4Pd
1.0
-3.0342 3.0342 4.0416
3.0342 -3.0342 4.0416
3.0342 3.0342 -4.0416
Cs K H Pd
1 1 4 1
Cartesian
0.0000 0.0000 0.0000
0.0000 0.0000 4.0416
-1.1750 1.8593 2.0208
1.1750 1.8593 2.0208
-1.1750 4.2092 2.0208
1.1750 4.2092 2.0208
0.0000 3.0342 2.0208
```

V: 21.3 Å³/atom
Crystal system: tetragonal
Calculated total energy: -3.22 eV/atom

Here is a relaxed structure of CsKH2Pt from the Open Quantum Materials Database. Energies are from PBE-GGA.

Cell and atoms, written as POSCAR:
```
CsKH2Pt
1.0
2.6515 1.5308 5.9283
-2.6515 1.5308 5.9283
0.0000 -3.0617 5.9283
Cs K H Pt
1 1 2 1
Cartesian
0.0000 0.0000 0.0000
0.0000 0.0000 9.0438
0.0000 0.0000 2.8908
0.0000 0.0000 6.2398
0.0000 0.0000 4.5455
```

V: 28.9 Å³/atom
Crystal system: trigonal
Size of the total moment: 0.00 μB per cell
Calculated total energy: -3.26 eV/atom

Here is a relaxed structure of CsLiH2Pd from the Open Quantum Materials Database. Energies are from PBE-GGA.

Cell and atoms, written as POSCAR:
```
CsLiH2Pd
1.0
-1.8310 1.8310 7.2073
1.8310 -1.8310 7.2073
1.8310 1.8310 -7.2073
Cs Li H Pd
1 1 2 1
Cartesian
0.0000 0.0000 0.0000
0.0000 0.0000 10.9086
0.0000 0.0000 2.8036
0.0000 0.0000 6.1583
0.0000 0.0000 4.4606
```

V: 19.3 Å³/atom
Crystal system: tetragonal
Calculated total energy: -3.13 eV/atom

Here is a relaxed structure of CsNaH2Pd from the Open Quantum Materials Database. Energies are from PBE-GGA.

Cell and atoms, written as POSCAR:
```
CsNaH2Pd
1.0
-1.9670 1.9670 7.0688
1.9670 -1.9670 7.0688
1.9670 1.9670 -7.0688
Cs Na H Pd
1 1 2 1
Cartesian
0.0000 0.0000 0.0000
0.0000 0.0000 10.6100
0.0000 0.0000 2.8938
0.0000 0.0000 6.2753
0.0000 0.0000 4.5775
```

V: 21.9 Å³/atom
Crystal system: tetragonal
Calculated total energy: -3.01 eV/atom

Here is a relaxed structure of CsNaH2Pt from the Open Quantum Materials Database. Energies are from PBE-GGA.

Cell and atoms, written as POSCAR:
```
CsNaH2Pt
1.0
2.5362 1.4643 5.7250
-2.5362 1.4643 5.7250
0.0000 -2.9286 5.7250
Cs Na H Pt
1 1 2 1
Cartesian
0.0000 0.0000 0.0000
0.0000 0.0000 8.7945
0.0000 0.0000 2.7012
0.0000 0.0000 6.0499
0.0000 0.0000 4.3277
```

V: 25.5 Å³/atom
Crystal system: trigonal
Size of the total moment: 0.00 μB per cell
Calculated total energy: -3.21 eV/atom

Here is a relaxed structure of CsNbH2O4 from the Open Quantum Materials Database. Energies are from PBE-GGA.

Cell and atoms, written as POSCAR:
```
CsNbH2O4
1.0
5.1249 0.0000 0.0000
0.0000 6.3767 0.0000
-2.2871 0.0000 7.5048
Cs Nb H O
2 2 4 8
Cartesian
-0.5677 1.5942 2.0043
3.4055 4.7825 5.5004
1.9253 4.7825 1.7229
0.9125 1.5942 5.7819
-1.1843 1.5942 7.0036
1.4189 0.0000 3.7524
1.4189 3.1883 3.7524
4.0221 4.7825 0.5012
0.1811 4.7825 1.2015
-0.2085 1.5942 7.3535
0.6301 0.1218 4.6562
0.6301 3.0666 4.6562
2.2077 3.3101 2.8486
2.2077 6.2549 2.8486
3.0463 4.7825 0.1513
2.6567 1.5942 6.3033
```

V: 15.3 Å³/atom
Crystal system: monoclinic
Size of the total moment: 0.00 μB per cell
Calculated total energy: -6.51 eV/atom
Energy relative to the lowest polymorph listed for this composition: 0.22 eV/f.u.

Here is a relaxed structure of CsNbH2O4 from the Open Quantum Materials Database. Energies are from PBE-GGA.

Cell and atoms, written as POSCAR:
```
CsNbH2O4
1.0
0.0000 5.9173 3.9376
5.6594 0.0000 3.9376
5.6594 5.9173 0.0000
Cs Nb H O
2 2 4 8
Cartesian
0.0000 0.0000 0.0000
2.8297 2.9586 1.9688
5.6594 5.9173 4.0123
8.4892 8.8759 5.9811
7.9195 5.6065 2.9365
5.0898 3.2694 4.9053
3.3994 6.2281 2.9365
6.2291 8.5651 4.9053
7.1900 6.3305 2.8990
10.0197 8.4627 4.8678
4.1289 5.5041 2.8990
6.0344 4.4803 5.0690
6.9586 9.2891 4.8678
5.2845 7.3542 5.0690
8.1142 7.4390 7.0378
8.8641 10.3129 7.0378
```

V: 16.5 Å³/atom
Crystal system: orthorhombic
Size of the total moment: 0.00 μB per cell
Calculated total energy: -6.53 eV/atom
Energy relative to the lowest polymorph listed for this composition: 0.00 eV/f.u.

Here is a relaxed structure of CsNbH2O4 from the Open Quantum Materials Database. Energies are from PBE-GGA.

Cell and atoms, written as POSCAR:
```
CsNbH2O4
1.0
5.1930 0.0000 0.0000
0.0000 6.3685 0.0000
-5.0486 0.0000 15.2232
Cs Nb H O
4 4 8 16
Cartesian
-0.6121 1.5824 5.6160
-3.1365 1.6018 13.2277
3.2808 4.7667 1.9956
0.7565 4.7861 9.6072
0.7074 1.5495 1.7691
-1.8169 1.6348 9.3808
1.9613 4.7337 5.8425
-0.5630 4.8190 13.4541
-1.0618 4.7240 7.0498
-3.5861 4.8287 14.6614
1.1571 3.1924 3.6772
-1.3672 6.3604 11.2888
1.5116 0.0081 3.9344
-1.0127 3.1761 11.5460
3.7305 1.5398 0.5618
1.2062 1.6445 8.1734
-4.5781 4.7615 14.9721
-2.0538 4.7913 7.3605
0.4444 0.1057 2.8656
-2.0799 3.0785 10.4772
-2.0625 0.1037 10.5303
0.4618 3.0805 2.9187
0.2443 4.6781 6.4463
-2.2800 4.8746 14.0579
2.4244 1.4939 1.1653
-0.0999 1.6904 8.7769
-0.3174 3.2880 12.3046
2.2069 6.2648 4.6929
2.2243 3.2900 4.7460
-0.3000 6.2628 12.3577
2.1982 1.5772 7.8627
4.7225 1.6070 0.2511
```

V: 15.7 Å³/atom
Crystal system: monoclinic
Size of the total moment: 0.01 μB per cell
Calculated total energy: -6.52 eV/atom
Energy relative to the lowest polymorph listed for this composition: 0.13 eV/f.u.

Here is a relaxed structure of CsNbH2O4 from the Open Quantum Materials Database. Energies are from PBE-GGA.

Cell and atoms, written as POSCAR:
```
CsNbH2O4
1.0
-3.9086 3.9086 4.8861
3.9086 -3.9086 4.8861
3.9086 3.9086 -4.8861
Cs Nb H O
2 2 4 8
Cartesian
0.0000 0.0000 0.0000
0.0000 3.9086 2.4431
3.9086 0.0000 2.4431
0.0000 0.0000 4.8861
3.9086 0.0000 0.5554
0.0000 0.0000 2.9984
3.9086 0.0000 4.3307
0.0000 0.0000 6.7738
5.1347 -0.0142 1.0040
2.6824 0.0142 1.0040
3.9227 2.6824 -1.4390
3.8944 -1.2262 3.8821
-0.0142 1.2262 3.4471
3.9227 1.2262 3.8821
2.6824 3.8944 1.4390
1.2262 0.0142 6.3251
```

V: 18.7 Å³/atom
Crystal system: tetragonal
Size of the total moment: 0.00 μB per cell
Calculated total energy: -6.04 eV/atom
Energy relative to the lowest polymorph listed for this composition: 3.91 eV/f.u.

Here is a relaxed structure of Cs2NbHO4 from the Open Quantum Materials Database. Energies are from PBE-GGA.

Cell and atoms, written as POSCAR:
```
Cs2NbHO4
1.0
2.8437 -6.3684 0.0000
2.8437 6.3684 0.0000
0.0000 0.0000 8.3465
Cs Nb H O
4 2 2 8
Cartesian
2.8437 5.8440 4.1732
2.8437 1.4895 5.6630
2.8437 -1.4895 1.4898
2.8437 -5.8440 0.0000
2.8437 2.4005 1.8257
2.8437 -2.4005 5.9990
2.8437 4.3827 6.9210
2.8437 -4.3827 2.7478
1.2176 1.9068 2.7102
2.8437 4.2232 1.5979
1.2176 -1.9068 6.8834
2.8437 1.5090 0.2136
2.8437 -1.5090 4.3868
4.4698 1.9068 2.7102
2.8437 -4.2232 5.7711
4.4698 -1.9068 6.8834
```

V: 18.9 Å³/atom
Crystal system: orthorhombic
Size of the total moment: 0.01 μB per cell
Calculated total energy: -6.33 eV/atom

Here is a relaxed structure of CsNbH2SO from the Open Quantum Materials Database. Energies are from PBE-GGA.

Cell and atoms, written as POSCAR:
```
CsNbH2SO
1.0
7.1986 -1.7530 0.0000
7.1986 1.7530 0.0000
-0.0073 0.0000 3.9634
Cs Nb H S O
1 1 2 1 1
Cartesian
0.0000 0.0000 0.0000
10.3619 0.0000 2.0894
2.2851 0.0000 1.9688
8.5530 0.0000 1.9546
4.9303 0.0000 1.9613
10.0833 0.0000 3.9436
```

V: 16.7 Å³/atom
Crystal system: monoclinic
Size of the total moment: 0.00 μB per cell
Calculated total energy: -5.51 eV/atom

Here is a relaxed structure of Cs2NiH3 from the Open Quantum Materials Database. Energies are from PBE-GGA.

Cell and atoms, written as POSCAR:
```
Cs2NiH3
1.0
3.6313 0.0000 0.0000
-1.8156 3.1448 0.0000
0.0000 0.0000 9.3237
Cs Ni H
2 1 3
Cartesian
0.0000 2.0965 1.9889
1.8156 1.0483 7.3348
0.0000 0.0000 4.6618
0.0000 0.0000 0.0000
0.0000 2.0965 4.8905
1.8156 1.0483 4.4332
```

V: 17.7 Å³/atom
Crystal system: trigonal
Size of the total moment: 0.00 μB per cell
Calculated total energy: -2.49 eV/atom